Entry 1:
Here is a geometry-optimized ScPS2I structure from the Alexandria database. Energies are from PBE.

```
ScPS2I
1.0
4.9462 0.0000 0.0000
0.0000 4.9462 0.0000
0.0000 0.0000 5.1954
I Sc S P
1 1 2 1
direct
0.0000 0.0000 0.0000 I
0.5000 0.5000 0.5000 Sc
0.0000 0.5000 0.0000 S
0.5000 0.0000 0.0000 S
0.0000 0.0000 0.5000 P
```

Energy above the lowest structure with this stoichiometry ... 0.647 eV per atom
Formation energy from raw total energies ... 654 meV/atom
SG ... P4/mmm, No. 123
Energy ... -18.3 eV per cell
Spin magnetization ... 0.10 μB/cell

---

Entry 2:
Here is a geometry-optimized CdInSb structure from the Alexandria database. Energies are from PBE.

```
CdInSb
1.0
5.1197 0.0000 0.0000
2.5598 4.4338 0.0000
2.5598 1.4779 4.1802
Sb Cd In
1 1 1
direct
0.2500 0.2500 0.2500 Sb
0.0000 0.0000 0.0000 Cd
0.5000 0.5000 0.5000 In
```

Formation energy from raw total energies ... 53 meV/atom
SG ... F-43m, No. 216
Energy ... -7.6 eV per cell
Spin magnetization ... 0.00 μB/cell

---

Entry 3:
Here is a geometry-optimized La3Pm2Au3 structure from the Alexandria database. Energies are from PBE.

```
La3Pm2Au3
1.0
3.7535 0.0000 -0.6045
-0.2049 5.2918 -1.2725
-0.0468 0.0004 11.6649
La Pm Au
3 2 3
direct
0.3833 0.3833 0.7667 La
0.6167 0.6167 0.2333 La
0.5000 0.0000 0.0000 La
0.2703 0.7703 0.5406 Pm
0.7297 0.2297 0.4594 Pm
0.8784 0.8784 0.7568 Au
0.0000 0.5000 0.0000 Au
0.1216 0.1216 0.2432 Au
```

Energy relative to the elements ... -0.5797 eV/atom
SG ... Immm, No. 71
Energy ... -38.8 eV per cell
Spin magnetization ... 0.00 μB/cell

---

Entry 4:
Here is a geometry-optimized K2HgPdI structure from the Alexandria database. Energies are from PBE.

```
K2HgPdI
1.0
-0.1082 -4.4164 -4.3290
6.1776 -0.2777 0.1289
-0.2428 -3.6645 3.7445
I K Hg Pd
1 2 1 1
direct
0.5000 0.5000 0.5000 I
0.0000 0.5000 0.0000 K
0.5000 0.0000 0.0000 K
0.0000 0.0000 0.5000 Hg
0.0000 0.0000 0.0000 Pd
```

Energy above the lowest structure with this stoichiometry ... 0.000 eV per atom
Formation energy from raw total energies ... -527 meV/atom
SG ... P4/mmm, No. 123
Energy ... -11.9 eV per cell
Spin magnetization ... 0.00 μB/cell

---

Entry 5:
Here is a geometry-optimized Pm2Zn2NiPd5 structure from the Alexandria database. Energies are from PBE.

```
Pm2Zn2NiPd5
1.0
3.8270 0.0000 0.0000
0.0000 9.6310 0.0000
0.0000 0.0000 9.6310
Pm Zn Ni Pd
4 4 2 10
direct
0.0000 0.6800 0.1800 Pm
0.0000 0.3200 0.8200 Pm
0.0000 0.1800 0.3200 Pm
0.0000 0.8200 0.6800 Pm
0.0000 0.1189 0.6189 Zn
0.0000 0.8811 0.3811 Zn
0.0000 0.6189 0.8811 Zn
0.0000 0.3811 0.1189 Zn
0.0000 0.0000 0.0000 Ni
0.0000 0.5000 0.5000 Ni
0.5000 0.2003 0.0625 Pd
0.5000 0.7997 0.9375 Pd
0.5000 0.0625 0.7997 Pd
0.5000 0.7003 0.4375 Pd
0.5000 0.9375 0.2003 Pd
0.5000 0.2997 0.5625 Pd
0.5000 0.5625 0.7003 Pd
0.5000 0.4375 0.2997 Pd
0.5000 0.5000 0.0000 Pd
0.5000 0.0000 0.5000 Pd
```

Energy relative to the elements ... -0.5291 eV/atom
SG ... P4/mbm, No. 127
Energy ... -98.2 eV per cell
Spin magnetization ... 0.00 μB/cell

---

Entry 6:
Here is a geometry-optimized ZrOsW3 structure from the Alexandria database. Energies are from PBE.

```
ZrOsW3
1.0
-2.2872 2.3849 3.3139
2.9423 -1.6707 3.2330
2.8306 3.6636 -0.6829
Os Zr W
1 1 3
direct
0.5000 0.5000 0.5000 Os
0.0000 0.0000 0.0000 Zr
0.0000 0.5000 0.0000 W
0.0000 0.0000 0.5000 W
0.5000 0.0000 0.0000 W
```

Energy relative to the elements ... 2.9533 eV/atom
Energy above the lowest structure with this stoichiometry ... 1.416 eV per atom
SG ... Pm-3m, No. 221
Energy ... -43.9 eV per cell
Spin magnetization ... 0.00 μB/cell

---

Entry 7:
Here is a geometry-optimized LiPaNi2Ge2 structure from the Alexandria database. Energies are from PBE.

```
LiPaNi2Ge2
1.0
-1.0988 2.1925 3.3166
3.2374 -2.5488 0.1925
3.8510 4.7506 -1.8646
Li Pa Ni Ge
1 1 2 2
direct
0.0000 0.0000 0.5000 Li
0.0000 0.0000 0.0000 Pa
0.6667 0.3333 0.2921 Ni
0.3333 0.6667 0.7079 Ni
0.6667 0.3333 0.7020 Ge
0.3333 0.6667 0.2980 Ge
```

Energy relative to the elements ... -0.5061 eV/atom
SG ... P-3m1, No. 164
Energy ... -35.2 eV per cell
Spin magnetization ... 0.00 μB/cell

---

Entry 8:
Here is a geometry-optimized RbNa2Ag9 structure from the Alexandria database. Energies are from PBE.

```
RbNa2Ag9
1.0
-2.6731 -4.5142 2.3492
6.4519 -0.0924 7.1641
-5.5884 5.9683 5.1098
Rb Na Ag
2 4 18
direct
0.0000 0.5000 0.5000 Rb
0.0000 0.0000 0.0000 Rb
0.0000 0.6188 0.1188 Na
0.0000 0.3812 0.8812 Na
0.0000 0.1188 0.3812 Na
0.0000 0.8812 0.6188 Na
0.5000 0.5000 0.0000 Ag
0.5000 0.0000 0.5000 Ag
0.5000 0.7088 0.5638 Ag
0.5000 0.2912 0.4362 Ag
0.5000 0.2088 0.9362 Ag
0.5000 0.7912 0.0638 Ag
0.5000 0.4362 0.7088 Ag
0.5000 0.5638 0.2912 Ag
0.5000 0.0638 0.2088 Ag
0.5000 0.9362 0.7912 Ag
0.7554 0.8214 0.3214 Ag
0.7554 0.1785 0.6786 Ag
0.7554 0.3214 0.1785 Ag
0.7554 0.6786 0.8214 Ag
0.2446 0.1785 0.6786 Ag
0.2446 0.8214 0.3214 Ag
0.2446 0.6786 0.8214 Ag
0.2446 0.3214 0.1785 Ag
```

Energy relative to the elements ... -0.0047 eV/atom
SG ... P4/mbm, No. 127
Energy ... -58.6 eV per cell
Spin magnetization ... 0.00 μB/cell